Density functional theory data (PBE) for an optimized crystal structure of ReRu2Pt.

Results
Space-group type: No. 123
Raw total energy, eV for the cell shown: -37.1
Energy of formation, eV per atom: -0.0206
Offset from the most stable computed form, meV/atom: 0

Cell: 2.739 2.739 7.783 Å, 90.00 90.00 90.00°
Fractional coordinates of all 4 atoms:
1 Pt 0.500 0.500 0.250
2 Ru 0.000 0.000 0.992
3 Ru 0.000 0.000 0.508
4 Re 0.500 0.500 0.750